{
  "formula": "RbCoF2",
  "functional": "PBEsol",
  "state": "relaxed",
  "lattice": [[-3.394, -0.597, 3.501], [-3.418, -0.769, -3.444], [4.591, -5.219, 0.114]],
  "species": ["Co", "Co", "Rb", "Rb", "F", "F", "F", "F"],
  "frac_coords": [[0.500, 0.500, 0.000], [0.750, 0.250, 0.500], [0.000, 0.000, 0.000], [0.250, 0.750, 0.500], [0.520, 0.875, 0.250], [0.125, 0.270, 0.750], [0.625, 0.480, 0.750], [0.730, 0.375, 0.250]],
  "raw_formation_energy_ev_per_atom": -1.38,
  "magnetic_moment_mub_per_atom": 0.534
}